DFT (PBE) results for a relaxed structure of TaNiP.

Density in g cm⁻³: 11.447
Space group: P2_1/m (11)
Electronic total energy in eV per atom: -8.39
Spin magnetization in μB/f.u.: 0.0

Lattice parameters (Å, degrees): 6.1840 3.5895 10.6117 90.00 90.84 90.00
Last column: nearest neighbours and their distance in Å.
Element x y z (fractional)
Ta 0.0257 0.2500 0.1161  5 P 2.59-2.63, 5 Ni 2.82-2.86
Ta 0.1402 0.2500 0.4196  5 P 2.55-2.63, 4 Ni 2.78-2.79
Ta 0.4679 0.7500 0.7857  5 P 2.43-2.62
Ta 0.5321 0.2500 0.2143  5 P 2.43-2.62
Ta 0.8598 0.7500 0.5804  5 P 2.55-2.63, 4 Ni 2.78-2.79
Ta 0.9743 0.7500 0.8839  5 P 2.59-2.63, 5 Ni 2.82-2.86
Ni 0.1350 0.2500 0.7035  4 P 2.33-2.40
Ni 0.3514 0.7500 0.0430  4 P 2.29-2.36
Ni 0.4835 0.7500 0.4140  4 P 2.25-2.35
Ni 0.5165 0.2500 0.5860  4 P 2.25-2.35
Ni 0.6486 0.2500 0.9570  4 P 2.29-2.36
Ni 0.8650 0.7500 0.2965  4 P 2.33-2.40
P 0.2319 0.7500 0.2509  3 Ni 2.31-2.34
P 0.2718 0.2500 0.9159  4 Ni 2.29-2.40
P 0.2721 0.7500 0.5851  5 Ni 2.25-2.36, 1 Ta 2.43
P 0.7279 0.2500 0.4149  5 Ni 2.25-2.36, 1 Ta 2.43
P 0.7282 0.7500 0.0841  4 Ni 2.29-2.40
P 0.7681 0.2500 0.7491  3 Ni 2.31-2.34

***

DFT (PBE) results for a relaxed structure of Pu4AgGe2.

Density in g cm⁻³: 11.833
Space group: R-3m (166)
Electronic total energy in eV per atom: -9.97
Spin magnetization in μB/f.u.: 23.7

Lattice parameters (Å, degrees): 8.0796 8.0796 8.0796 37.16 37.16 37.16
Last column: nearest neighbours and their distance in Å.
Element x y z (fractional)
Pu 0.0913 0.0913 0.0913  3 Pu 3.00, 3 Ge 3.09
Pu 0.2610 0.2610 0.2610  4 Ge 2.86-3.00, 3 Pu 3.00
Pu 0.7390 0.7390 0.7390  4 Ge 2.86-3.00, 3 Pu 3.00
Pu 0.9087 0.9087 0.9087  3 Pu 3.00, 3 Ge 3.09
Ag 0.5000 0.5000 0.5000  2 Ge 2.52
Ge 0.3880 0.3880 0.3880  1 Ag 2.52
Ge 0.6120 0.6120 0.6120  1 Ag 2.52

***

DFT (PBE) results for a relaxed structure of TmBe4Co.

Density in g cm⁻³: 6.585
Space group: F-43m (216)
Electronic total energy in eV per atom: -4.58
Spin magnetization in μB/f.u.: 0.0

Lattice parameters (Å, degrees): 4.5488 4.5488 4.5488 60.00 60.00 60.00
Last column: nearest neighbours and their distance in Å.
Element x y z (fractional)
Tm 0.0000 0.0000 0.0000  12 Be 2.67, 4 Co 2.79
Be 0.3784 0.3784 0.3784  6 Be 2.21-2.34
Be 0.3784 0.3784 0.8649  6 Be 2.21-2.34
Be 0.3784 0.8649 0.3784  6 Be 2.21-2.34
Be 0.8649 0.3784 0.3784  6 Be 2.21-2.34
Co 0.7500 0.7500 0.7500  12 Be 2.66, 4 Tm 2.79

***

DFT (PBE) results for a relaxed structure of Ho5Ga2Sn2.

Density in g cm⁻³: 8.372
Space group: Cmce (64)
Electronic total energy in eV per atom: -4.74
Spin magnetization in μB/f.u.: 0.0

Lattice parameters (Å, degrees): 8.6621 8.6621 7.8004 90.00 90.00 54.52
Last column: nearest neighbours and their distance in Å.
Element x y z (fractional)
Ho 0.0000 0.0000 0.0000  4 Ga 3.11-3.16, 2 Sn 3.25
Ho 0.0447 0.6898 0.6742  3 Ga 3.05-3.15, 3 Sn 3.10-3.14
Ho 0.1898 0.5447 0.1742  3 Ga 3.05-3.15, 3 Sn 3.10-3.14
Ho 0.3102 0.9553 0.6742  3 Ga 3.05-3.15, 3 Sn 3.10-3.14
Ho 0.4553 0.8102 0.1742  3 Ga 3.05-3.15, 3 Sn 3.10-3.14
Ho 0.5000 0.5000 0.5000  4 Ga 3.11-3.16, 2 Sn 3.25
Ho 0.5447 0.1898 0.8258  3 Ga 3.05-3.15, 3 Sn 3.10-3.14
Ho 0.6898 0.0447 0.3258  3 Ga 3.05-3.15, 3 Sn 3.10-3.14
Ho 0.8102 0.4553 0.8258  3 Ga 3.05-3.15, 3 Sn 3.10-3.14
Ho 0.9553 0.3102 0.3258  3 Ga 3.05-3.15, 3 Sn 3.10-3.14
Ga 0.1199 0.8801 0.3791  1 Ga 2.68
Ga 0.3801 0.6199 0.8791  1 Ga 2.68
Ga 0.6199 0.3801 0.1209  1 Ga 2.68
Ga 0.8801 0.1199 0.6209  1 Ga 2.68
Sn 0.2108 0.2108 0.0000  7 Ho 3.10-3.25
Sn 0.2892 0.2892 0.5000  7 Ho 3.10-3.25
Sn 0.7108 0.7108 0.5000  7 Ho 3.10-3.25
Sn 0.7892 0.7892 0.0000  7 Ho 3.10-3.25

***

DFT (PBE) results for a relaxed structure of CuNiPd2N.

Density in g cm⁻³: 9.117
Formation energy (no corrections) in eV per formula unit: 0.7
Space group: P4/mmm (123)
Spin magnetization in μB/f.u.: 0.0

Lattice parameters (Å, degrees): 4.2133 4.2133 3.5817 90.00 90.00 90.00
Last column: nearest neighbours and their distance in Å.
Element x y z (fractional)
Cu 0.0000 0.0000 0.0000  8 Pd 2.76, 4 Ni 2.98
Ni 0.5000 0.5000 0.0000  2 N 1.79
Pd 0.0000 0.5000 0.5000  2 N 2.11
Pd 0.5000 0.0000 0.5000  2 N 2.11
N 0.5000 0.5000 0.5000  2 Ni 1.79

***

DFT (PBE) results for a relaxed structure of Zn2WBr.

Energy above the lowest structure with this stoichiometry in eV per atom: 0.010
Density in g cm⁻³: 7.453
Formation energy (no corrections) in eV per formula unit: 1.6
Space group: Imm2 (44)
Spin magnetization in μB/f.u.: 0.5

Lattice parameters (Å, degrees): 2.9665 4.4183 13.4147 90.00 90.00 90.00
Last column: nearest neighbours and their distance in Å.
Element x y z (fractional)
Zn 0.0000 0.0000 0.0000  4 W 2.72, 4 Zn 2.74-2.97
Zn 0.0000 0.5000 0.1207  2 W 2.62, 2 Zn 2.74
Zn 0.5000 0.0000 0.6207  2 W 2.62, 2 Zn 2.74
Zn 0.5000 0.5000 0.5000  4 W 2.72, 4 Zn 2.74-2.97
W 0.0000 0.0000 0.4594  2 Br 2.57, 6 Zn 2.62-2.72
W 0.5000 0.5000 0.9594  2 Br 2.57, 6 Zn 2.62-2.72
Br 0.0000 0.5000 0.8030  2 W 2.57
Br 0.5000 0.0000 0.3030  2 W 2.57

***

DFT (PBE) results for a relaxed structure of TcSn3Os.

Energy above the lowest structure with this stoichiometry in eV per atom: 0.000
Density in g cm⁻³: 8.010
Space group: Pm-3m (221)
Spin magnetization in μB/f.u.: 3.0

Lattice parameters (Å, degrees): 5.1118 5.1118 5.1118 90.00 90.00 90.00
Last column: nearest neighbours and their distance in Å.
Element x y z (fractional)
Tc 0.0000 0.0000 0.0000  12 Sn 3.61
Sn 0.0000 0.5000 0.5000  2 Os 2.56
Sn 0.5000 0.0000 0.5000  2 Os 2.56
Sn 0.5000 0.5000 0.0000  2 Os 2.56
Os 0.5000 0.5000 0.5000  6 Sn 2.56

***

DFT (PBE) results for a relaxed structure of SrLiCd2.

Energy above the lowest structure with this stoichiometry in eV per atom: 0.225
Density in g cm⁻³: 4.056
Space group: I-42d (122)
Spin magnetization in μB/f.u.: 0.0

Lattice parameters (Å, degrees): 5.1573 5.1573 19.6662 90.00 90.00 90.00
Last column: nearest neighbours and their distance in Å.
Element x y z (fractional)
Sr 0.0000 0.0000 0.0000  4 Cd 3.44, 4 Li 3.65
Sr 0.0000 0.5000 0.2500  4 Cd 3.44, 4 Li 3.65
Sr 0.5000 0.0000 0.7500  4 Cd 3.44, 4 Li 3.65
Sr 0.5000 0.5000 0.5000  4 Cd 3.44, 4 Li 3.65
Li 0.0000 0.0000 0.5000  4 Cd 2.83
Li 0.0000 0.5000 0.7500  4 Cd 2.83
Li 0.5000 0.0000 0.2500  4 Cd 2.83
Li 0.5000 0.5000 0.0000  4 Cd 2.83
Cd 0.1044 0.2500 0.6250  2 Cd 2.79, 2 Li 2.83
Cd 0.2500 0.6044 0.8750  2 Cd 2.79, 2 Li 2.83
Cd 0.2500 0.8956 0.3750  2 Cd 2.79, 2 Li 2.83
Cd 0.3956 0.2500 0.1250  2 Cd 2.79, 2 Li 2.83
Cd 0.6044 0.7500 0.1250  2 Cd 2.79, 2 Li 2.83
Cd 0.7500 0.1044 0.3750  2 Cd 2.79, 2 Li 2.83
Cd 0.7500 0.3956 0.8750  2 Cd 2.79, 2 Li 2.83
Cd 0.8956 0.7500 0.6250  2 Cd 2.79, 2 Li 2.83

***

Q: The lowest density belongs to which entry?
A: SrLiCd2

***

Q: Look up the spin magnetization of the sixth one.
A: 0.5 μB/f.u.